[1]
A plane-wave DFT calculation with PBE-GGA was carried out for crystalline Ac2AuI at its relaxed geometry.

The structure belongs to space group R3m (No. 160, hexagonal axes); the cell edges are 4.5299, 4.5299 and 25.8938 Å and the angles 90.00°, 90.00° and 120.00°. The inequivalent atoms are Ac at (0.0000, 0.0000, 0.0000), Ac at (0.0000, 0.0000, 0.1992), Au at (0.0000, 0.0000, 0.5990) and I at (0.0000, 0.0000, 0.7668).

Its polymorph energy (0 for the lowest one) is 5.2 meV per atom. Its density of states at the Fermi level is 0.617 states/eV/atom. The value obtained for the formation energy without anion corrections is -908 meV per atom.

[2]
A plane-wave DFT calculation with PBE-GGA was carried out for crystalline Ac4AuI5 at its relaxed geometry.

The structure belongs to space group C2/m (No. 12); the cell edges are 20.7434, 4.4877 and 9.7571 Å and the angles 90.00°, 102.68° and 90.00°. The inequivalent atoms are Ac at (0.0008, 0.0000, 0.2184), Ac at (0.1547, 0.5000, 0.0769), Au at (0.0000, 0.5000, 0.0000), I at (0.0000, 0.5000, 0.5000), I at (0.1689, 0.0000, 0.3438) and I at (0.1732, 0.0000, 0.8186).

Its density of states at the Fermi level is 0.619 states/eV/atom. The value obtained for the formation energy without anion corrections is -1201 meV per atom.

[3]
A plane-wave DFT calculation with PBE-GGA was carried out for crystalline AcInAuI at its relaxed geometry.

The structure belongs to space group R-3m (No. 166, hexagonal axes); the cell edges are 4.7368, 4.7368 and 45.0043 Å and the angles 90.00°, 90.00° and 120.00°. The inequivalent atoms are Ac at (0.0000, 0.0000, 0.0779), In at (0.0000, 0.0000, 0.3115), Au at (0.0000, 0.0000, 0.3745) and I at (0.0000, 0.0000, 0.2085).

Its density of states at the Fermi level is 0.572 states/eV/atom. The value obtained for the formation energy without anion corrections is -889 meV per atom.

[4]
A plane-wave DFT calculation with PBE-GGA was carried out for crystalline Ac6Ir2AuI3 at its relaxed geometry.

The structure belongs to space group C2/m (No. 12); the cell edges are 7.7458, 13.4165 and 9.0117 Å and the angles 90.00°, 106.65° and 90.00°. The inequivalent atoms are Ac at (0.2112, 0.0000, 0.1860), Ac at (0.2376, 0.3246, 0.1865), Ir at (0.0000, 0.1667, 0.0000), Au at (0.0000, 0.5000, 0.0000), I at (0.0000, 0.0000, 0.5000) and I at (0.0000, 0.3344, 0.5000).

Its density of states at the Fermi level is 0.618 states/eV/atom. The value obtained for the formation energy without anion corrections is -1044 meV per atom.

[5]
A plane-wave DFT calculation with PBE-GGA was carried out for crystalline Ac8Ir3AuI3 at its relaxed geometry.

The structure belongs to space group C2/m (No. 12); the cell edges are 15.4444, 8.9264 and 9.8614 Å and the angles 90.00°, 121.48° and 90.00°. The inequivalent atoms are Ac at (0.0242, 0.2375, 0.3097), Ac at (0.2291, 0.0000, 0.6881), Ac at (0.2381, 0.5000, 0.6896), Ir at (0.0000, 0.0000, 0.5000), Ir at (0.2500, 0.2500, 0.5000), Au at (0.0000, 0.5000, 0.5000), I at (0.0000, 0.5000, 0.0000) and I at (0.2500, 0.2500, 0.0000).

Its density of states at the Fermi level is 0.498 states/eV/atom. The value obtained for the formation energy without anion corrections is -930 meV per atom.

[6]
A plane-wave DFT calculation with PBE-GGA was carried out for crystalline Ac4IrAu2I at its relaxed geometry.

The structure belongs to space group P2/m (No. 10); the cell edges are 7.7442, 4.5072 and 8.4551 Å and the angles 90.00°, 108.08° and 90.00°. The inequivalent atoms are Ac at (0.2321, 0.0000, 0.2063), Ac at (0.2535, 0.5000, 0.7956), Ir at (0.0000, 0.5000, 0.0000), Au at (0.5000, 0.0000, 0.0000), Au at (0.5000, 0.5000, 0.5000) and I at (0.0000, 0.0000, 0.5000).

Its density of states at the Fermi level is 0.777 states/eV/atom. The value obtained for the formation energy without anion corrections is -811 meV per atom.